No. 1
Here is crystalline Y4SbN at its relaxed geometry from Alexandria. Energies are from GGA-PBE.

It has space group C2/c (No. 15), with a = 14.6647 Å, b = 5.8988 Å, c = 7.1535 Å, α = 90.00°, β = 106.45° and γ = 90.00°. The distinct sites, in fractional coordinates, are Y at (0.1024, 0.0732, 0.4389), Y at (0.1924, 0.4480, 0.1815), Sb at (0.0000, 0.3899, 0.7500) and N at (0.2500, 0.2500, 0.5000).

Its raw formation energy is -79 kJ/mol of atoms. The total energy comes out at -7.208 eV/atom.



No. 2
Here is crystalline Ac3NdN at its relaxed geometry from Alexandria. Energies are from GGA-PBE.

It has space group Pm-3m (No. 221), with a = 5.4565 Å, b = 5.4565 Å, c = 5.4565 Å, α = 90.00°, β = 90.00° and γ = 90.00°. The distinct sites, in fractional coordinates, are Ac at (0.0000, 0.0000, 0.5000), Nd at (0.5000, 0.5000, 0.5000) and N at (0.0000, 0.0000, 0.0000).

Its raw formation energy is -38 kJ/mol of atoms. The total energy comes out at -5.476 eV/atom.



No. 3
Here is crystalline Pu2CoGe2 at its relaxed geometry from Alexandria. Energies are from GGA-PBE.

It has space group C2/m (No. 12), with a = 10.4896 Å, b = 4.2416 Å, c = 10.1759 Å, α = 90.00°, β = 119.28° and γ = 90.00°. The distinct sites, in fractional coordinates, are Pu at (0.0089, 0.0000, 0.1672), Pu at (0.1821, 0.0000, 0.5886), Co at (0.2243, 0.5000, 0.8849), Ge at (0.0044, 0.5000, 0.6405) and Ge at (0.1594, 0.5000, 0.0789).

For the energy above the most stable polymorph in this dataset, the calculation gives 0 meV per atom. The formation energy is -397 meV/atom. The total energy comes out at -9.397 eV/atom.



No. 4
Here is crystalline LiCdPt3 at its relaxed geometry from Alexandria. Energies are from GGA-PBE.

It has space group Pm-3m (No. 221), with a = 5.0087 Å, b = 5.0087 Å, c = 5.0087 Å, α = 90.00°, β = 90.00° and γ = 90.00°. The distinct sites, in fractional coordinates, are Li at (0.0000, 0.0000, 0.0000), Cd at (0.5000, 0.5000, 0.5000) and Pt at (0.0000, 0.5000, 0.5000).

For the energy above the most stable polymorph in this dataset, the calculation gives 784 meV per atom. The formation energy is 982 meV/atom. The total energy comes out at -3.209 eV/atom.



No. 5
Here is crystalline Pr2Ho3Bi2Sb2 at its relaxed geometry from Alexandria. Energies are from GGA-PBE.

It has space group I4/mmm (No. 139), with a = 6.0722 Å, b = 6.0722 Å, c = 15.4832 Å, α = 90.00°, β = 90.00° and γ = 90.00°. The distinct sites, in fractional coordinates, are Pr at (0.0000, 0.0000, 0.0923), Ho at (0.0000, 0.0000, 0.5000), Ho at (0.0000, 0.5000, 0.2500), Bi at (0.0000, 0.0000, 0.2989) and Sb at (0.0000, 0.5000, 0.0000).

Its raw formation energy is -62 kJ/mol of atoms. The total energy comes out at -5.011 eV/atom.



No. 6
Here is crystalline AcPuAs2O8 at its relaxed geometry from Alexandria. Energies are from GGA-PBE.

It has space group I-4m2 (No. 119), with a = 7.5100 Å, b = 7.5100 Å, c = 6.6508 Å, α = 90.00°, β = 90.00° and γ = 90.00°. The distinct sites, in fractional coordinates, are Ac at (0.0000, 0.0000, 0.0000), Pu at (0.0000, 0.5000, 0.7500), As at (0.0000, 0.0000, 0.5000), As at (0.0000, 0.5000, 0.2500), O at (0.0000, 0.1810, 0.6620) and O at (0.0000, 0.3275, 0.0791).

Its raw formation energy is -211 kJ/mol of atoms. The total energy comes out at -7.808 eV/atom.



No. 7
Here is crystalline Ho2TaS6 at its relaxed geometry from Alexandria. Energies are from GGA-PBE.

It has space group P4_2/mnm (No. 136), with a = 6.1942 Å, b = 6.1942 Å, c = 11.6409 Å, α = 90.00°, β = 90.00° and γ = 90.00°. The distinct sites, in fractional coordinates, are Ho at (0.0000, 0.0000, 0.1701), Ta at (0.0000, 0.0000, 0.5000), S at (0.1930, 0.1930, 0.3503) and S at (0.2155, 0.2155, 0.0000).

Its raw formation energy is -127 kJ/mol of atoms. The total energy comes out at -6.403 eV/atom.



No. 8
Here is crystalline K12Tl3Cl5 at its relaxed geometry from Alexandria. Energies are from GGA-PBE.

It has space group Ia-3d (No. 230), with a = 19.7731 Å, b = 19.7731 Å, c = 19.7731 Å, α = 90.00°, β = 90.00° and γ = 90.00°. The distinct sites, in fractional coordinates, are K at (0.0256, 0.0591, 0.6503), Tl at (0.0000, 0.2500, 0.1250), Cl at (0.0000, 0.0000, 0.0000) and Cl at (0.0000, 0.2500, 0.3750).

Its raw formation energy is -83 kJ/mol of atoms. The total energy comes out at -2.334 eV/atom.